## a
# AsPb2Cl2 (PBE, relaxed)
# M_tot (μB per formula unit): 0.46
data_AsPb2Cl2
_chemical_formula_sum 'As2 Pb4 Cl4'
_cell_length_a 4.416
_cell_length_b 4.416
_cell_length_c 14.443
_cell_angle_alpha 90.00
_cell_angle_beta 90.00
_cell_angle_gamma 90.00
_symmetry_space_group_name_H-M 'I 4/m m m'
_symmetry_Int_Tables_number 139
_symmetry_space_group_name_Hall '-I 4 2'
loop_
_atom_site_label
_atom_site_fract_x
_atom_site_fract_y
_atom_site_fract_z
_atom_site_occupancy
As1 0.000 0.000 0.000 1
Pb1 0.000 0.000 0.384 1
Cl1 0.000 0.500 0.250 1

=====

## b
# AsPb2Cl2 (PBE, relaxed)
# M_tot (μB per formula unit): 0.00
data_AsPb2Cl2
_chemical_formula_sum 'As2 Pb4 Cl4'
_cell_length_a 8.432
_cell_length_b 8.432
_cell_length_c 4.016
_cell_angle_alpha 90.00
_cell_angle_beta 90.00
_cell_angle_gamma 90.00
_symmetry_space_group_name_H-M 'P 4/m b m'
_symmetry_Int_Tables_number 127
_symmetry_space_group_name_Hall '-P 4 2ab'
loop_
_atom_site_label
_atom_site_fract_x
_atom_site_fract_y
_atom_site_fract_z
_atom_site_occupancy
As1 0.000 0.000 0.000 1
Pb1 0.195 0.305 0.000 1
Cl1 0.136 0.636 0.500 1

=====

Of the structures shown above, a is the least stable.